# Dy3Si5 GGA-PBE relaxed
# E_form (uncorrected) ... -0.68 eV per atom
# Magnetization ... 0.000 μB per cell
data_Dy3Si5
_chemical_formula_sum 'Dy24 Si40'
_cell_length_a 5.640
_cell_length_b 16.908
_cell_length_c 13.420
_cell_angle_alpha 90.00
_cell_angle_beta 90.00
_cell_angle_gamma 90.00
_symmetry_space_group_name_H-M 'F d d 2'
_symmetry_Int_Tables_number 43
_symmetry_space_group_name_Hall 'F 2 -2d'
loop_
_atom_site_label
_atom_site_fract_x
_atom_site_fract_y
_atom_site_fract_z
_atom_site_occupancy
Dy1 0.000 0.000 0.000 1
Dy2 0.002 0.331 0.995 1
Si1 0.000 0.000 0.560 1
Si2 0.012 0.164 0.913 1
Si3 0.028 0.325 0.590 1